# BeTl2S2 GGA-PBE relaxed
data_BeTl2S2
_symmetry_space_group_name_H-M 'P 1'
_symmetry_Int_Tables_number 1
_symmetry_space_group_name_Hall 'P 1'
_cell_length_a 7.9157
_cell_length_b 7.9157
_cell_length_c 7.9157
_cell_angle_alpha 130.90
_cell_angle_beta 67.12
_cell_angle_gamma 137.23
loop_
_atom_site_label
_atom_site_type_symbol
_atom_site_fract_x
_atom_site_fract_y
_atom_site_fract_z
Be1 Be 0.2500 0.2500 0.0000
Be2 Be 0.7500 0.7500 0.0000
Tl1 Tl 0.1446 0.6783 0.8229
Tl2 Tl 0.3554 0.1783 0.5337
Tl3 Tl 0.6446 0.8217 0.4663
Tl4 Tl 0.8554 0.3217 0.1771
S1 S 0.0849 0.1731 0.2580
S2 S 0.4151 0.6731 0.0882
S3 S 0.5849 0.3269 0.9118
S4 S 0.9151 0.8269 0.7420
# V in Å³/atom: 25.05
# SG: No. 72
# Calculated total energy in eV per atom: -3.89